The following is a DFT calculation (PBE) of crystalline Ba2PSe at its relaxed geometry.

Structure (POSCAR):
```
Ba2PSe
1.0
4.593 0.000 0.000
0.000 4.593 0.000
0.000 0.000 12.689
Ba P Se
4 2 2
Direct
0.000 0.000 0.000
0.000 0.500 0.250
0.500 0.000 0.750
0.500 0.500 0.500
0.000 0.500 0.750
0.500 0.000 0.250
0.000 0.000 0.500
0.500 0.500 0.000
```

Computed properties:
The calculation puts the excess energy over the best structure of this formula in the dataset at 285 meV/atom. As for the formation energy (no corrections): -1.024 eV per atom.

The following is a DFT calculation (PBE) of crystalline CaBPb3 at its relaxed geometry.

Structure (POSCAR):
```
CaBPb3
1.0
5.193 0.000 0.000
0.000 5.193 0.000
0.000 0.000 5.193
Ca B Pb
1 1 3
Direct
0.000 0.000 0.000
0.500 0.500 0.500
0.000 0.500 0.500
0.500 0.000 0.500
0.500 0.500 0.000
```

Computed properties:
The calculation puts the excess energy over the best structure of this formula in the dataset at 0 meV/atom. The formation energy is 0.41 eV per atom.

The following is a DFT calculation (PBE) of crystalline Mn2CoMo at its relaxed geometry.

Structure (POSCAR):
```
Mn2CoMo
1.0
2.993 0.000 0.000
0.000 4.010 0.000
0.000 0.000 4.210
Mn Co Mo
2 1 1
Direct
0.000 0.000 0.000
0.500 0.000 0.500
0.000 0.500 0.500
0.500 0.500 0.000
```

Computed properties:
The formation energy is 0.10 eV per atom.

The following is a DFT calculation (PBE) of crystalline SrSmHo2Se4 at its relaxed geometry.

Structure (POSCAR):
```
SrSmHo2Se4
1.0
7.227 0.000 0.000
0.000 4.138 0.000
-2.359 0.000 6.843
Sr Sm Ho Se
1 1 2 4
Direct
0.000 0.000 0.000
0.500 0.500 0.000
0.000 0.500 0.500
0.500 0.000 0.500
0.249 0.000 0.737
0.259 0.500 0.267
0.741 0.500 0.733
0.751 0.000 0.263
```

Computed properties:
As for the formation energy (no corrections): -1.807 eV per atom.

The following is a DFT calculation (PBE) of crystalline Sr3TaPd at its relaxed geometry.

Structure (POSCAR):
```
Sr3TaPd
1.0
5.791 0.000 0.000
0.000 5.791 0.000
0.000 0.000 5.791
Sr Ta Pd
3 1 1
Direct
0.000 0.000 0.500
0.000 0.500 0.000
0.500 0.000 0.000
0.500 0.500 0.500
0.000 0.000 0.000
```

Computed properties:
The calculation puts the excess energy over the best structure of this formula in the dataset at 0 meV/atom. The formation energy is 0.68 eV per atom.

The following is a DFT calculation (PBE) of crystalline MnNi14P at its relaxed geometry.

Structure (POSCAR):
```
MnNi14P
1.0
5.014 0.000 0.000
0.000 5.014 0.000
0.000 0.000 6.952
Mn Ni P
1 14 1
Direct
0.000 0.000 0.000
0.000 0.000 0.500
0.000 0.500 0.000
0.000 0.500 0.500
0.254 0.254 0.249
0.254 0.254 0.751
0.254 0.746 0.249
0.254 0.746 0.751
0.500 0.000 0.000
0.500 0.000 0.500
0.500 0.500 0.500
0.746 0.254 0.249
0.746 0.254 0.751
0.746 0.746 0.249
0.746 0.746 0.751
0.500 0.500 0.000
```

Computed properties:
The formation energy is -0.07 eV per atom.

The following is a DFT calculation (PBE) of crystalline Ti2PtAu at its relaxed geometry.

Structure (POSCAR):
```
Ti2PtAu
1.0
4.026 0.000 0.000
0.000 4.026 0.000
0.000 0.000 3.996
Ti Pt Au
2 1 1
Direct
0.000 0.500 0.000
0.500 0.000 0.000
0.000 0.000 0.500
0.500 0.500 0.500
```

Computed properties:
The formation energy is -0.59 eV per atom.

The following is a DFT calculation (PBE) of crystalline CeCdGaSn at its relaxed geometry.

Structure (POSCAR):
```
CeCdGaSn
1.0
4.403 0.000 0.000
0.000 4.638 0.000
0.000 0.000 4.685
Ce Cd Ga Sn
1 1 1 1
Direct
0.000 0.000 0.000
0.000 0.500 0.500
0.500 0.500 0.000
0.500 0.000 0.500
```

Computed properties:
The formation energy is -0.43 eV per atom.

The following is a DFT calculation (PBE) of crystalline CsMgP at its relaxed geometry.

Structure (POSCAR):
```
CsMgP
1.0
12.235 0.000 0.000
0.000 6.334 0.000
0.000 0.000 7.344
Cs Mg P
4 4 4
Direct
0.152 0.250 0.025
0.348 0.750 0.525
0.652 0.250 0.475
0.848 0.750 0.975
0.000 0.000 0.500
0.000 0.500 0.500
0.500 0.000 0.000
0.500 0.500 0.000
0.082 0.750 0.294
0.418 0.250 0.794
0.582 0.750 0.206
0.918 0.250 0.706
```

Computed properties:
The formation energy is -0.31 eV per atom.

The following is a DFT calculation (PBE) of crystalline ScTa2Mo at its relaxed geometry.

Structure (POSCAR):
```
ScTa2Mo
1.0
2.922 0.000 0.000
-1.461 2.530 0.000
0.000 0.000 30.340
Sc Ta Mo
3 6 3
Direct
0.000 0.000 0.000
0.333 0.667 0.667
0.667 0.333 0.333
0.000 0.000 0.247
0.000 0.000 0.753
0.333 0.667 0.419
0.333 0.667 0.914
0.667 0.333 0.086
0.667 0.333 0.581
0.000 0.000 0.500
0.333 0.667 0.167
0.667 0.333 0.833
```

Computed properties:
The calculation puts the excess energy over the best structure of this formula in the dataset at 279 meV/atom. The formation energy is 0.34 eV per atom.

The following is a DFT calculation (PBE) of crystalline Sc4SnTe2 at its relaxed geometry.

Structure (POSCAR):
```
Sc4SnTe2
1.0
0.000 6.416 6.437
4.421 0.000 6.437
4.421 6.416 0.000
Sc Sn Te
8 2 4
Direct
0.116 0.322 0.323
0.261 0.677 0.678
0.322 0.116 0.739
0.323 0.739 0.116
0.677 0.261 0.884
0.678 0.884 0.261
0.739 0.323 0.322
0.884 0.678 0.677
0.375 0.375 0.375
0.625 0.625 0.625
0.000 0.000 0.000
0.000 0.000 0.500
0.000 0.500 0.000
0.500 0.000 0.000
```

Computed properties:
As for the formation energy (no corrections): -0.754 eV per atom.

The following is a DFT calculation (PBE) of crystalline CdSbOs2 at its relaxed geometry.

Structure (POSCAR):
```
CdSbOs2
1.0
2.944 0.000 0.000
0.000 2.944 0.000
0.000 0.000 8.680
Cd Sb Os
1 1 2
Direct
0.000 0.000 0.000
0.500 0.500 0.669
0.000 0.000 0.422
0.500 0.500 0.239
```

Computed properties:
The calculation puts the excess energy over the best structure of this formula in the dataset at 70 meV/atom. As for the formation energy (no corrections): 0.404 eV per atom.